1.
# Nb2O5 PBE optimized geometry
data_Nb2O5
_chemical_formula_sum 'Nb8 O20'
_space_group_name_H-M_alt 'C 1 2/c 1'
_space_group_IT_number 15
_space_group_name_Hall '-C 2yc'
_cell_length_a 12.981
_cell_length_b 4.979
_cell_length_c 5.686
_cell_angle_alpha 90.00
_cell_angle_beta 103.88
_cell_angle_gamma 90.00
loop_
_atom_site_label
_atom_site_type_symbol
_atom_site_fract_x
_atom_site_fract_y
_atom_site_fract_z
_atom_site_occupancy
Nb1 Nb 0.141 0.242 0.253 1
O1 O 0.000 0.111 0.250 1
O2 O 0.111 0.449 0.981 1
O3 O 0.205 0.068 0.628 1
# E above lowest polymorph = 0.017 eV/atom
# Uncorrected formation energy = -2.53 eV per atom
# Calculated volume = 357 Å³/cell
# Crystal system = monoclinic

2.
# HoTmScPd PBE optimized geometry
data_HoTmScPd
_chemical_formula_sum 'Ho4 Tm4 Sc4 Pd4'
_space_group_name_H-M_alt 'F -4 3 m'
_space_group_IT_number 216
_space_group_name_Hall 'F -4 2 3'
_cell_length_a 7.235
_cell_length_b 7.235
_cell_length_c 7.235
_cell_angle_alpha 90.00
_cell_angle_beta 90.00
_cell_angle_gamma 90.00
loop_
_atom_site_label
_atom_site_type_symbol
_atom_site_fract_x
_atom_site_fract_y
_atom_site_fract_z
_atom_site_occupancy
Ho1 Ho 0.000 0.000 0.000 1
Tm1 Tm 0.000 0.000 0.500 1
Sc1 Sc 0.250 0.250 0.750 1
Pd1 Pd 0.250 0.250 0.250 1
# Calculated volume = 379 Å³/cell
# Crystal system = cubic
# Formation energy = -80 kJ/mol of formula units